# KCdHg2 (PBEsol, relaxed)
data_KCdHg2
_symmetry_space_group_name_H-M 'R 3 m'
_symmetry_Int_Tables_number 160
_symmetry_space_group_name_Hall 'R 3 -2"'
_cell_length_a 4.9236
_cell_length_b 4.9236
_cell_length_c 17.3146
_cell_angle_alpha 90.00
_cell_angle_beta 90.00
_cell_angle_gamma 120.00
loop_
_atom_site_label
_atom_site_fract_x
_atom_site_fract_y
_atom_site_fract_z
K1 0.0000 0.0000 0.0000
Cd1 0.0000 0.0000 0.1984
Hg1 0.0000 0.0000 0.5305
Hg2 0.0000 0.0000 0.7973
# ρ, g/cm3: 7.576
# E_form, eV/atom: -0.122
# DFT total energy, eV/atom: -0.9877